## Th2Zn2Cu3 (GGA-PBE)

Data for crystalline Th2Zn2Cu3 at its relaxed geometry.

```
Th2Zn2Cu3
1.0
2.072 -9.217 0.000
2.072 9.217 0.000
0.000 0.000 7.068
Th Zn Cu
4 4 6
direct
0.060 0.940 0.750 Th
0.153 0.847 0.250 Th
0.847 0.153 0.750 Th
0.940 0.060 0.250 Th
0.309 0.691 0.062 Zn
0.309 0.691 0.438 Zn
0.691 0.309 0.562 Zn
0.691 0.309 0.938 Zn
0.227 0.773 0.750 Cu
0.441 0.559 0.570 Cu
0.441 0.559 0.930 Cu
0.559 0.441 0.070 Cu
0.559 0.441 0.430 Cu
0.773 0.227 0.250 Cu
```

Computed properties:
ΔE_f   -0.1954 eV/atom
Space-group type   Cmcm, No. 63
Density of states at the Fermi level   0.75 states/eV per atom

## Th4Zn5Cu2 (GGA-PBE)

Data for crystalline Th4Zn5Cu2 at its relaxed geometry.

```
Th4Zn5Cu2
1.0
7.050 0.000 0.000
0.000 3.840 0.000
-0.555 0.000 9.119
Th Zn Cu
4 5 2
direct
0.175 0.000 0.372 Th
0.257 0.000 0.938 Th
0.743 0.000 0.062 Th
0.825 0.000 0.628 Th
0.198 0.500 0.657 Zn
0.441 0.500 0.200 Zn
0.500 0.500 0.500 Zn
0.559 0.500 0.800 Zn
0.802 0.500 0.343 Zn
0.063 0.500 0.135 Cu
0.937 0.500 0.865 Cu
```

Computed properties:
ΔE_f   -0.1351 eV/atom
Space-group type   P2/m, No. 10
Density of states at the Fermi level   0.94 states/eV per atom

## Th3Zn4Cu4 (GGA-PBE)

Data for crystalline Th3Zn4Cu4 at its relaxed geometry.

```
Th3Zn4Cu4
1.0
-2.233 3.299 7.146
2.233 -3.299 7.146
2.233 3.299 -7.146
Th Zn Cu
3 4 4
direct
0.000 0.000 0.000 Th
0.364 0.864 0.500 Th
0.636 0.136 0.500 Th
0.214 0.214 0.000 Zn
0.312 0.500 0.812 Zn
0.688 0.500 0.188 Zn
0.786 0.786 0.000 Zn
0.022 0.332 0.690 Cu
0.357 0.668 0.690 Cu
0.643 0.332 0.310 Cu
0.978 0.668 0.310 Cu
```

Computed properties:
ΔE_f   -0.1874 eV/atom
Space-group type   Immm, No. 71
Energy above the most stable polymorph in this dataset   0.23 eV per formula unit
Density of states at the Fermi level   0.90 states/eV per atom

## ThZnCu5 (GGA-PBE)

Data for crystalline ThZnCu5 at its relaxed geometry.

```
ThZnCu5
1.0
8.190 0.000 0.000
0.000 5.094 0.000
0.000 0.000 10.277
Th Zn Cu
4 4 20
direct
0.242 0.250 0.062 Th
0.258 0.750 0.562 Th
0.742 0.250 0.438 Th
0.758 0.750 0.938 Th
0.145 0.750 0.861 Zn
0.355 0.250 0.361 Zn
0.645 0.750 0.639 Zn
0.855 0.250 0.139 Zn
0.063 0.750 0.098 Cu
0.065 0.004 0.309 Cu
0.065 0.496 0.309 Cu
0.093 0.250 0.515 Cu
0.182 0.250 0.753 Cu
0.318 0.750 0.253 Cu
0.407 0.750 0.015 Cu
0.435 0.504 0.809 Cu
0.435 0.996 0.809 Cu
0.437 0.250 0.598 Cu
0.563 0.750 0.402 Cu
0.565 0.004 0.191 Cu
0.565 0.496 0.191 Cu
0.593 0.250 0.985 Cu
0.682 0.250 0.747 Cu
0.818 0.750 0.247 Cu
0.907 0.750 0.485 Cu
0.935 0.504 0.691 Cu
0.935 0.996 0.691 Cu
0.937 0.250 0.902 Cu
```

Computed properties:
ΔE_f   -0.1859 eV/atom
Space-group type   Pnma, No. 62
Density of states at the Fermi level   0.67 states/eV per atom

## Th4ZnCu3 (GGA-PBE)

Data for crystalline Th4ZnCu3 at its relaxed geometry.

```
Th4ZnCu3
1.0
3.722 0.000 0.000
0.000 4.283 0.000
0.000 0.000 11.752
Th Zn Cu
4 1 3
direct
0.000 0.000 0.000 Th
0.000 0.500 0.296 Th
0.500 0.000 0.490 Th
0.500 0.500 0.804 Th
0.000 0.000 0.708 Zn
0.000 0.500 0.584 Cu
0.500 0.000 0.210 Cu
0.500 0.500 0.085 Cu
```

Computed properties:
ΔE_f   -0.1325 eV/atom
Space-group type   Pmm2, No. 25
Density of states at the Fermi level   1.02 states/eV per atom

## Th3Zn2Cu3 (GGA-PBE)

Data for crystalline Th3Zn2Cu3 at its relaxed geometry.

```
Th3Zn2Cu3
1.0
2.165 -5.579 0.000
2.165 5.579 0.000
0.000 0.000 13.827
Th Zn Cu
6 4 6
direct
0.076 0.924 0.614 Th
0.076 0.924 0.886 Th
0.361 0.639 0.750 Th
0.639 0.361 0.250 Th
0.924 0.076 0.114 Th
0.924 0.076 0.386 Th
0.215 0.785 0.086 Zn
0.215 0.785 0.414 Zn
0.785 0.215 0.586 Zn
0.785 0.215 0.914 Zn
0.337 0.663 0.250 Cu
0.393 0.607 0.538 Cu
0.393 0.607 0.962 Cu
0.607 0.393 0.038 Cu
0.607 0.393 0.462 Cu
0.663 0.337 0.750 Cu
```

Computed properties:
ΔE_f   -0.1938 eV/atom
Space-group type   Cmcm, No. 63
Energy above the most stable polymorph in this dataset   0.00 eV per formula unit
Density of states at the Fermi level   0.97 states/eV per atom

## ThZn2Cu4 (GGA-PBE)

Data for crystalline ThZn2Cu4 at its relaxed geometry.

```
ThZn2Cu4
1.0
-3.273 3.273 2.543
3.273 -3.273 2.543
3.273 3.273 -2.543
Th Zn Cu
1 2 4
direct
0.000 0.000 0.000 Th
0.250 0.750 0.500 Zn
0.750 0.250 0.500 Zn
0.311 0.311 0.622 Cu
0.311 0.689 0.000 Cu
0.689 0.311 0.000 Cu
0.689 0.689 0.378 Cu
```

Computed properties:
ΔE_f   -0.2154 eV/atom
Space-group type   I4/mmm, No. 139
Energy above the most stable polymorph in this dataset   0.00 eV per formula unit
Density of states at the Fermi level   0.48 states/eV per atom

## Th2Zn15Cu2 (GGA-PBE)

Data for crystalline Th2Zn15Cu2 at its relaxed geometry.

```
Th2Zn15Cu2
1.0
4.499 2.597 4.408
-4.499 2.597 4.408
0.000 -5.195 4.408
Th Zn Cu
2 15 2
direct
0.163 0.163 0.163 Th
0.837 0.837 0.837 Th
0.000 0.500 0.500 Zn
0.150 0.150 0.656 Zn
0.150 0.656 0.150 Zn
0.215 0.500 0.785 Zn
0.215 0.785 0.500 Zn
0.344 0.850 0.850 Zn
0.500 0.000 0.500 Zn
0.500 0.215 0.785 Zn
0.500 0.500 0.000 Zn
0.500 0.785 0.215 Zn
0.656 0.150 0.150 Zn
0.785 0.215 0.500 Zn
0.785 0.500 0.215 Zn
0.850 0.344 0.850 Zn
0.850 0.850 0.344 Zn
0.398 0.398 0.398 Cu
0.602 0.602 0.602 Cu
```

Computed properties:
ΔE_f   -0.2114 eV/atom
Space-group type   R-3m, No. 166
Density of states at the Fermi level   0.22 states/eV per atom

Number 1: E_tot -4.43 eV per atom. Number 2: E_tot -4.16 eV per atom. Number 3: E_tot -4.16 eV per atom. Number 4: E_tot -4.35 eV per atom. Number 5: E_tot -5.54 eV per atom. Number 6: E_tot -4.83 eV per atom. Number 7: E_tot -3.98 eV per atom. Number 8: E_tot -2.43 eV per atom.